Below is a relaxed SrCa2CrS crystal, with properties calculated at the PBE level.

Cell lengths 6.6124, 6.6124, 5.2571 Å; angles 90.00, 90.00, 90.00 degrees
Closest atoms and distances in Å follow each position.
Space group P4/mmm (No. 123)
Symmetry-distinct sites (fractional):
Sr (0.0000, 0.0000, 0.0000)  2 S 2.63
Ca (0.0000, 0.5000, 0.0000)  2 Sr 3.31
Cr (0.5000, 0.5000, 0.5000)  8 Ca 4.22, 4 S 4.68
S (0.0000, 0.0000, 0.5000)  2 Sr 2.63

Formation energy from raw total energies in eV per formula unit: 3.63



Below is a relaxed SrNd2Hg2 crystal, with properties calculated at the PBE level.

Cell lengths 3.9285, 21.5445, 3.8422 Å; angles 90.00, 90.00, 90.00 degrees
Closest atoms and distances in Å follow each position.
Space group Cmmm (No. 65)
Symmetry-distinct sites (fractional):
Sr (0.0000, 0.0000, 0.0000)  8 Hg 3.49, 2 Sr 3.84, 2 Nd 3.84
Nd (0.0000, 0.1784, 0.0000)  4 Hg 3.22
Hg (0.0000, 0.4000, 0.5000)  4 Nd 3.22, 4 Sr 3.49

Formation enthalpy at 0 K in eV/atom: -0.308



Below is a relaxed PrCdGa4 crystal, with properties calculated at the PBE level.

Cell lengths 8.1730, 15.6885, 4.1384 Å; angles 90.00, 90.00, 90.00 degrees
Closest atoms and distances in Å follow each position.
Space group Pbam (No. 55)
Symmetry-distinct sites (fractional):
Pr (0.1288, 0.1495, 0.0000)  14 Ga 3.31-3.66
Cd (0.1399, 0.4100, 0.0000)  10 Ga 2.88-3.03
Ga (0.0138, 0.6969, 0.5000)  3 Ga 2.38-2.51
Ga (0.1185, 0.5505, 0.5000)  3 Ga 2.45-2.50
Ga (0.1290, 0.9650, 0.5000)  3 Ga 2.38-2.50
Ga (0.2066, 0.8106, 0.5000)  3 Ga 2.38-2.51

Formation enthalpy at 0 K in eV/atom: -0.226



Below is a relaxed Pr2Sm4Ge3H2 crystal, with properties calculated at the PBE level.

Cell lengths 4.6641, 4.6641, 24.2944 Å; angles 90.00, 90.00, 90.00 degrees
Closest atoms and distances in Å follow each position.
Space group I4/mmm (No. 139)
Symmetry-distinct sites (fractional):
Pr (0.0000, 0.0000, 0.2020)  1 H 2.50
Sm (0.0000, 0.5000, 0.0798)  2 H 2.38
Ge (0.0000, 0.0000, 0.3297)  5 Pr 3.10-3.39, 4 Sm 3.21
Ge (0.0000, 0.0000, 0.5000)  8 Sm 3.03
H (0.0000, 0.0000, 0.0990)  4 Sm 2.38, 1 Pr 2.50

Total energy in eV/cell: -110.98



Below is a relaxed MgFe2As crystal, with properties calculated at the PBE level.

Cell lengths 3.7954, 3.7954, 3.9309 Å; angles 90.00, 90.00, 90.00 degrees
Closest atoms and distances in Å follow each position.
Space group P4/mmm (No. 123)
Symmetry-distinct sites (fractional):
Mg (0.0000, 0.0000, 0.0000)  4 As 2.68, 8 Fe 2.73
Fe (0.0000, 0.5000, 0.5000)  4 Fe 2.68, 4 As 2.73, 4 Mg 2.73
As (0.5000, 0.5000, 0.0000)  4 Mg 2.68, 8 Fe 2.73

Formation enthalpy at 0 K in eV/atom: 0.058



Below is a relaxed CoTe3N crystal, with properties calculated at the PBE level.

Cell lengths 4.6927, 4.6927, 4.6927 Å; angles 90.00, 90.00, 90.00 degrees
Closest atoms and distances in Å follow each position.
Space group Pm-3m (No. 221)
Symmetry-distinct sites (fractional):
Co (0.0000, 0.0000, 0.0000)  12 Te 3.32
Te (0.0000, 0.5000, 0.5000)  2 N 2.35
N (0.5000, 0.5000, 0.5000)  6 Te 2.35

Formation energy from raw total energies in eV per formula unit: 5.27



Below is a relaxed Fe2CuHg crystal, with properties calculated at the PBE level.

Cell lengths 6.1410, 6.1410, 6.1410 Å; angles 90.00, 90.00, 90.00 degrees
Closest atoms and distances in Å follow each position.
Space group Fm-3m (No. 225)
Symmetry-distinct sites (fractional):
Fe (0.2500, 0.2500, 0.2500)  4 Hg 2.66, 4 Cu 2.66
Cu (0.0000, 0.0000, 0.0000)  8 Fe 2.66
Hg (0.0000, 0.0000, 0.5000)  8 Fe 2.66

Formation enthalpy at 0 K in eV/atom: 0.463



Below is a relaxed Tm4CdIrAu2 crystal, with properties calculated at the PBE level.

Cell lengths 5.0057, 5.0057, 24.6186 Å; angles 90.00, 90.00, 120.00 degrees
Closest atoms and distances in Å follow each position.
Space group R-3m (No. 166, hexagonal axes)
Symmetry-distinct sites (fractional):
Tm (0.0000, 0.0000, 0.1153)  1 Ir 2.84, 4 Au 2.94-3.05, 3 Cd 3.15
Tm (0.0000, 0.0000, 0.3675)  3 Ir 3.01, 4 Au 3.16-3.24, 1 Cd 3.26, 3 Tm 3.34
Cd (0.0000, 0.0000, 0.5000)  8 Tm 3.15-3.26, 6 Au 3.40
Ir (0.0000, 0.0000, 0.0000)  8 Tm 2.84-3.01
Au (0.0000, 0.0000, 0.2392)  8 Tm 2.94-3.24

Formation enthalpy at 0 K in eV/atom: -0.776



Below is a relaxed Hg2Se crystal, with properties calculated at the PBE level.

Cell lengths 6.9660, 6.9660, 6.9660 Å; angles 90.00, 90.00, 90.00 degrees
Closest atoms and distances in Å follow each position.
Space group Pa-3 (No. 205)
Symmetry-distinct sites (fractional):
Hg (0.1209, 0.1209, 0.1209)  3 Se 2.90, 1 Hg 2.92
Se (0.0000, 0.0000, 0.5000)  6 Hg 2.90

Formation energy from raw total energies in eV per formula unit: -0.04



Below is a relaxed InSiAu crystal, with properties calculated at the PBE level.

Cell lengths 8.6337, 4.2315, 7.2726 Å; angles 90.00, 97.86, 90.00 degrees
Closest atoms and distances in Å follow each position.
Space group C2/m (No. 12)
Symmetry-distinct sites (fractional):
In (0.1454, 0.0000, 0.3680)  4 Au 2.82-2.94
Si (0.1198, 0.5000, 0.9370)  1 Si 2.37, 3 Au 2.50-2.55
Au (0.1753, 0.0000, 0.7755)  3 Si 2.50-2.55

Formation energy from raw total energies in eV per formula unit: -0.06



Below is a relaxed CaTmIO6 crystal, with properties calculated at the PBE level.

Cell lengths 5.5423, 5.5423, 9.7053 Å; angles 90.00, 90.00, 120.00 degrees
Closest atoms and distances in Å follow each position.
Space group P-31c (No. 163)
Symmetry-distinct sites (fractional):
Ca (0.0000, 0.0000, 0.0000)  6 O 2.44
Tm (0.3333, 0.6667, 0.2500)  6 O 2.24
I (0.3333, 0.6667, 0.7500)  6 O 1.91
O (0.0445, 0.3868, 0.6393)  1 I 1.91

Formation energy from raw total energies in eV per formula unit: -17.33



Below is a relaxed SrTaIn2 crystal, with properties calculated at the PBE level.

Cell lengths 3.2830, 5.4637, 11.2323 Å; angles 90.00, 90.00, 90.00 degrees
Closest atoms and distances in Å follow each position.
Space group Imm2 (No. 44)
Symmetry-distinct sites (fractional):
Sr (0.0000, 0.0000, 0.0000)  6 In 3.19-3.47, 2 Sr 3.28, 2 Ta 3.39
Ta (0.0000, 0.5000, 0.2356)  6 In 2.95-3.21, 2 Ta 3.28
In (0.0000, 0.0000, 0.5169)  2 Ta 2.95, 4 Sr 3.19, 4 In 3.20-3.28
In (0.0000, 0.5000, 0.7720)  4 In 3.20-3.28, 4 Ta 3.21, 2 Sr 3.47

Formation enthalpy at 0 K in eV/atom: 0.387



The calculation returns the following total magnetic moment values, one per record and in order: 0.8144, 0.1837, 0.0000, 0.0000, 1.2863, 0.4722, 1.3213, 0.0000, 0.0000, 0.0000, 0.0000, 0.0003 μB per atom.